DFT (PBE+U) results for crystalline PuMn2ZnO8 at its relaxed geometry.

total magnetic moment = 8.0 μB/f.u.
VASP energy = -7.313 eV/atom

Unit cell a=5.8076 b=5.8076 c=5.8076 alpha=109.27 beta=109.27 gamma=109.87
Fractional positions:
Pu (0.0000, 0.0000, 0.0000)
Mn (0.2500, 0.7500, 0.5000)
Mn (0.5000, 0.5000, 0.0000)
Zn (0.7500, 0.2500, 0.5000)
O (0.0400, 0.3299, 0.2899)
O (0.0400, 0.7500, 0.7101)
O (0.1374, 0.3290, 0.8085)
O (0.2500, 0.9600, 0.2899)
O (0.5205, 0.3290, 0.1915)
O (0.6701, 0.9600, 0.7101)
O (0.6710, 0.4795, 0.8085)
O (0.6710, 0.8626, 0.1915)